{"formula": "La2AlRe", "functional": "PBE-GGA", "state": "optimized geometry", "lattice": [[5.055, 0.084, 0.005], [-0.082, 5.055, 0.005], [-0.004, -0.004, 3.873]], "species": ["Re", "Al", "La", "La"], "fractional_positions": [[0.500, 0.000, 0.500], [0.000, 0.500, 0.500], [0.000, 0.000, 0.000], [0.500, 0.500, 0.000]], "e_tot_ev_per_cell": -25.20, "sg": "P4/mmm (123)", "delta_e_f_ev_per_atom": 0.211}